Record 1
Entry from the Alexandria database: a relaxed structure of TcAu2 (GGA-PBEsol).

Values from the calculation:
M_tot: 1.9 μB/cell
Energy above the lowest structure with this stoichiometry: 12.4 kJ per mole of atoms
Raw total energy: -5.94 eV per atom

Lattice parameters (Å, degrees): 2.717 4.110 8.550 90.00 90.00 90.00
Space group Immm (No. 71)
One atom of each set of equivalent atoms:
Tc 0.000 0.000 0.000 [2 per cell]
Au 0.000 0.000 0.337 [4 per cell]

***

Record 2
Entry from the Alexandria database: a relaxed structure of Hf2TcPd2 (GGA-PBEsol).

Values from the calculation:
M_tot: 0.0 μB/cell
Raw total energy: -8.74 eV per atom

Lattice parameters (Å, degrees): 4.834 4.834 8.032 90.00 90.00 90.00
Space group I4/mmm (No. 139)
One atom of each set of equivalent atoms:
Hf 0.000 0.500 0.250 [4 per cell]
Tc 0.000 0.000 0.000 [2 per cell]
Pd 0.000 0.000 0.354 [4 per cell]

***

Record 3
Entry from the Alexandria database: a relaxed structure of KZnAu2 (GGA-PBEsol).

Values from the calculation:
M_tot: 0.0 μB/cell
Raw total energy: -2.75 eV per atom

Lattice parameters (Å, degrees): 2.858 3.645 7.831 90.00 90.00 90.00
Space group Pmmm (No. 47)
One atom of each set of equivalent atoms:
K 0.000 0.000 0.000 [1 per cell]
Zn 0.000 0.000 0.500 [1 per cell]
Au 0.500 0.500 0.315 [2 per cell]

***

Record 4
Entry from the Alexandria database: a relaxed structure of PbBr2 (GGA-PBEsol).

Values from the calculation:
M_tot: 0.0 μB/cell
Raw total energy: -3.45 eV per atom

Lattice parameters (Å, degrees): 7.904 4.678 9.580 90.00 90.00 90.00
Space group Pnma (No. 62)
One atom of each set of equivalent atoms:
Pb 0.234 0.250 0.089 [4 per cell]
Br 0.014 0.250 0.839 [4 per cell]
Br 0.141 0.250 0.417 [4 per cell]

***

Record 5
Entry from the Alexandria database: a relaxed structure of Be3SbMo (GGA-PBEsol).

Values from the calculation:
M_tot: 0.0 μB/cell
Energy above the lowest structure with this stoichiometry: 0.0 kJ per mole of atoms
Raw total energy: -4.48 eV per atom

Lattice parameters (Å, degrees): 4.325 4.325 4.325 90.00 90.00 90.00
Space group Pm-3m (No. 221)
One atom of each set of equivalent atoms:
Be 0.000 0.000 0.500 [3 per cell]
Sb 0.500 0.500 0.500 [1 per cell]
Mo 0.000 0.000 0.000 [1 per cell]

***

Record 6
Entry from the Alexandria database: a relaxed structure of MoN (GGA-PBEsol).

Values from the calculation:
M_tot: 0.0 μB/cell
Raw total energy: -9.81 eV per atom

Lattice parameters (Å, degrees): 3.077 6.283 7.910 90.00 90.00 90.00
Space group Imma (No. 74)
One atom of each set of equivalent atoms:
Mo 0.000 0.250 0.116 [4 per cell]
N 0.000 0.000 0.000 [4 per cell]

***

Record 7
Entry from the Alexandria database: a relaxed structure of Cs4CdNi3F12 (GGA-PBEsol).

Values from the calculation:
M_tot: 18.0 μB/cell
Raw total energy: -4.55 eV per atom

Lattice parameters (Å, degrees): 6.1405 6.1405 29.8092 90.00 90.00 120.00
Space group R-3m (No. 166, hexagonal axes)
One atom of each set of equivalent atoms:
Cs 0.0000 0.0000 0.1295 [6 per cell]
Cs 0.0000 0.0000 0.2864 [6 per cell]
Cd 0.0000 0.0000 0.0000 [3 per cell]
Ni 0.0000 0.0000 0.4111 [6 per cell]
Ni 0.0000 0.0000 0.5000 [3 per cell]
F 0.0157 0.5079 0.2912 [18 per cell]
F 0.0471 0.5236 0.1231 [18 per cell]

***

Record 8
Entry from the Alexandria database: a relaxed structure of Er6CoBi2 (GGA-PBEsol).

Values from the calculation:
M_tot: 0.0 μB/cell
Raw total energy: -5.59 eV per atom

Lattice parameters (Å, degrees): 8.1795 8.1795 3.9932 90.00 90.00 120.00
Space group P-62m (No. 189)
One atom of each set of equivalent atoms:
Er 0.0000 0.3908 0.0000 [3 per cell]
Er 0.0000 0.7691 0.5000 [3 per cell]
Co 0.0000 0.0000 0.0000 [1 per cell]
Bi 0.3333 0.6667 0.5000 [2 per cell]

***

Record 9
Entry from the Alexandria database: a relaxed structure of Cs2MgP4H8O16 (GGA-PBEsol).

Values from the calculation:
M_tot: 0.0 μB/cell
Raw total energy: -6.32 eV per atom

Lattice parameters (Å, degrees): 7.041 7.455 7.865 83.23 70.44 88.42
Space group P-1 (No. 2)
One atom of each set of equivalent atoms:
Cs 0.089 0.206 0.284 [2 per cell]
Mg 0.500 0.000 0.500 [1 per cell]
P 0.234 0.302 0.749 [2 per cell]
P 0.362 0.750 0.240 [2 per cell]
H 0.100 0.753 0.093 [2 per cell]
H 0.272 0.526 0.468 [2 per cell]
H 0.371 0.674 0.701 [2 per cell]
H 0.380 0.803 0.850 [2 per cell]
O 0.040 0.290 0.918 [2 per cell]
O 0.251 0.153 0.631 [2 per cell]
O 0.268 0.492 0.647 [2 per cell]
O 0.268 0.561 0.332 [2 per cell]
O 0.289 0.809 0.081 [2 per cell]
O 0.328 0.882 0.379 [2 per cell]
O 0.398 0.277 0.854 [2 per cell]
O 0.419 0.793 0.717 [2 per cell]

***

Record 10
Entry from the Alexandria database: a relaxed structure of Y3FeF (GGA-PBEsol).

Values from the calculation:
M_tot: 2.3 μB/cell
Energy above the lowest structure with this stoichiometry: 0.0 kJ per mole of atoms
Raw total energy: -6.92 eV per atom

Lattice parameters (Å, degrees): 4.689 4.689 4.689 90.00 90.00 90.00
Space group Pm-3m (No. 221)
One atom of each set of equivalent atoms:
Y 0.000 0.000 0.500 [3 per cell]
Fe 0.500 0.500 0.500 [1 per cell]
F 0.000 0.000 0.000 [1 per cell]

***

Record 11
Entry from the Alexandria database: a relaxed structure of Tb2Si4Mo3 (GGA-PBEsol).

Values from the calculation:
M_tot: 0.0 μB/cell
Raw total energy: -8.31 eV per atom

Lattice parameters (Å, degrees): 6.806 6.862 6.710 90.00 109.00 90.00
Space group P2_1/c (No. 14)
One atom of each set of equivalent atoms:
Tb 0.190 0.169 0.061 [4 per cell]
Si 0.090 0.545 0.869 [4 per cell]
Si 0.496 0.632 0.629 [4 per cell]
Mo 0.251 0.663 0.249 [4 per cell]
Mo 0.500 0.000 0.500 [2 per cell]

***

Record 12
Entry from the Alexandria database: a relaxed structure of KLa3In (GGA-PBEsol).

Values from the calculation:
M_tot: 0.0 μB/cell
Raw total energy: -3.66 eV per atom

Lattice parameters (Å, degrees): 6.123 6.123 6.123 90.00 90.00 90.00
Space group Pm-3m (No. 221)
One atom of each set of equivalent atoms:
K 0.000 0.000 0.000 [1 per cell]
La 0.000 0.500 0.500 [3 per cell]
In 0.500 0.500 0.500 [1 per cell]